The following is a PBE-GGA calculation of a geometry-optimized Gd2InGa structure, from Alexandria via LeMat-Bulk.

Geometry as CIF:
```
data_Gd2InGa
_cell_length_a 3.715
_cell_length_b 3.715
_cell_length_c 9.555
_cell_angle_alpha 78.79
_cell_angle_beta 78.79
_cell_angle_gamma 60.00
_space_group_name_H-M_alt 'P 1'
_space_group_IT_number 1
loop_
_space_group_symop_operation_xyz
'x,y,z'
loop_
_atom_site_label
_atom_site_type_symbol
_atom_site_fract_x
_atom_site_fract_y
_atom_site_fract_z
_atom_site_occupancy
In1 In 0.500 0.500 0.500 1
Gd1 Gd 0.256 0.256 0.231 1
Ga1 Ga 0.000 0.000 0.000 1
Gd2 Gd 0.744 0.744 0.769 1
```

## Properties
magnetic moment = 14.4 μB/f.u.
energy = -8.845 eV per atom